Entry 1:
First-principles (GGA-PBEsol) data for crystalline MgMn2Si at its relaxed geometry, as listed in Alexandria via LeMat-Bulk.

a = 3.8554 Å, b = 3.8554 Å, c = 3.4821 Å
α = 90.00°, β = 90.00°, γ = 90.00°
Closest atoms and distances in Å follow each position.
Space group P4/mmm (No. 123)
Inequivalent atoms, fractional coordinates:
Mg 0.0000 0.0000 0.0000 [1 per cell]  8 Mn 2.60, 4 Si 2.73
Mn 0.0000 0.5000 0.5000 [2 per cell]  4 Si 2.60, 4 Mg 2.60, 4 Mn 2.73
Si 0.5000 0.5000 0.0000 [1 per cell]  8 Mn 2.60, 4 Mg 2.73

## Properties
E (eV per atom): -6.71
Fermi-level density of states (states/eV per atom): 0.670
ΔE_f (raw) (kJ/mol of formula units): 15

Entry 2:
First-principles (GGA-PBEsol) data for crystalline TiClO2 at its relaxed geometry, as listed in Alexandria via LeMat-Bulk.

a = 2.9233 Å, b = 2.9233 Å, c = 27.6473 Å
α = 90.00°, β = 90.00°, γ = 120.00°
Closest atoms and distances in Å follow each position.
Space group R-3m (No. 166, hexagonal axes)
Inequivalent atoms, fractional coordinates:
Ti 0.0000 0.0000 0.0000 [3 per cell]  6 O 1.95
Cl 0.0000 0.0000 0.5000 [3 per cell]  6 Cl 2.92
O 0.0000 0.0000 0.3689 [6 per cell]  3 Ti 1.95

## Properties
E (eV per atom): -7.21
Fermi-level density of states (states/eV per atom): 0.339
ΔE_f (raw) (kJ/mol of formula units): -774

Entry 3:
First-principles (GGA-PBEsol) data for crystalline Zr2HgPd2 at its relaxed geometry, as listed in Alexandria via LeMat-Bulk.

a = 4.6610 Å, b = 4.6610 Å, c = 9.6779 Å
α = 90.00°, β = 90.00°, γ = 90.00°
Closest atoms and distances in Å follow each position.
Space group I4/mmm (No. 139)
Inequivalent atoms, fractional coordinates:
Zr 0.0000 0.5000 0.2500 [4 per cell]  4 Pd 2.62
Hg 0.0000 0.0000 0.0000 [2 per cell]  8 Zr 3.36, 10 Pd 3.51-3.62
Pd 0.0000 0.0000 0.3743 [4 per cell]  1 Pd 2.43, 4 Zr 2.62

## Properties
E (eV per atom): -6.38
Formation energy from the elements (meV/atom): -251
Fermi-level density of states (states/eV per atom): 0.323

Entry 4:
First-principles (GGA-PBEsol) data for crystalline Ta3Cu at its relaxed geometry, as listed in Alexandria via LeMat-Bulk.

a = 3.2874 Å, b = 3.2874 Å, c = 5.9800 Å
α = 90.00°, β = 90.00°, γ = 90.00°
Closest atoms and distances in Å follow each position.
Space group P4/mmm (No. 123)
Inequivalent atoms, fractional coordinates:
Ta 0.0000 0.0000 0.0000 [1 per cell]  8 Ta 2.79, 2 Cu 2.99
Ta 0.5000 0.5000 0.2583 [2 per cell]  4 Cu 2.74, 5 Ta 2.79-2.89
Cu 0.0000 0.0000 0.5000 [1 per cell]  10 Ta 2.74-2.99

## Properties
E (eV per atom): -10.42
Formation energy from the elements (meV/atom): 78
Fermi-level density of states (states/eV per atom): 0.866

Entry 5:
First-principles (GGA-PBEsol) data for crystalline BaMgSc2 at its relaxed geometry, as listed in Alexandria via LeMat-Bulk.

a = 11.2106 Å, b = 3.4256 Å, c = 6.1395 Å
α = 90.00°, β = 99.98°, γ = 90.00°
Closest atoms and distances in Å follow each position.
Space group Cm (No. 8)
Inequivalent atoms, fractional coordinates:
Ba 0.0000 0.0000 0.0000 [2 per cell]  2 Ba 3.43, 7 Sc 3.45-3.69, 3 Mg 3.46-3.50
Mg 0.2449 0.0000 0.7265 [2 per cell]  5 Sc 3.15-3.47, 2 Mg 3.43, 3 Ba 3.46-3.50
Sc 0.0055 0.5000 0.4931 [2 per cell]  5 Sc 3.20-3.43, 3 Mg 3.29-3.47, 4 Ba 3.47-3.56
Sc 0.2694 0.5000 0.3057 [2 per cell]  2 Mg 3.15, 5 Sc 3.20-3.43, 1 Ba 3.45

## Properties
E (eV per atom): -4.01
Formation energy from the elements (meV/atom): 256
Fermi-level density of states (states/eV per atom): 1.679

Entry 6:
First-principles (GGA-PBEsol) data for crystalline FeSiW at its relaxed geometry, as listed in Alexandria via LeMat-Bulk.

a = 5.4960 Å, b = 5.4960 Å, c = 5.4960 Å
α = 90.00°, β = 90.00°, γ = 90.00°
Closest atoms and distances in Å follow each position.
Space group F-43m (No. 216)
Inequivalent atoms, fractional coordinates:
Fe 0.0000 0.0000 0.0000 [4 per cell]  4 Si 2.38, 4 W 2.38
Si 0.2500 0.2500 0.2500 [4 per cell]  4 Fe 2.38
W 0.2500 0.2500 0.7500 [4 per cell]  4 Fe 2.38

## Properties
E (eV per atom): -9.87
Fermi-level density of states (states/eV per atom): 0.172
ΔE_f (raw) (kJ/mol of formula units): -106
Distance to the lowest polymorph of the same formula (meV/atom): 0